Entry one
NdEr2Cd | GGA-PBE | relaxed

```
NdEr2Cd
1.0
-1.8896 2.7527 5.7039
1.8896 -2.7527 5.7039
1.8896 2.7527 -5.7039
Nd Er Cd
1 2 1
Direct
0.0000 0.0000 0.0000
0.2758 0.7758 0.5000
0.7242 0.2242 0.5000
0.5000 0.5000 0.0000
```

Properties
**SG**: Immm, No. 71
**ρ**: 8.3 g/cm3
**Magnetization**: 0.00 μB/f.u.
**Density of states at the Fermi level**: 1.0914 states/eV/atom

***

Entry two
NdEr2Cd | GGA-PBE | relaxed

```
NdEr2Cd
1.0
1.8028 1.0408 10.7545
-1.8028 1.0408 10.7545
0.0000 -2.0817 10.7545
Nd Er Cd
1 2 1
Direct
0.0000 0.0000 0.0000
0.5757 0.5757 0.5757
0.7576 0.7576 0.7576
0.1664 0.1664 0.1664
```

Properties
**SG**: R3m, No. 160
**ρ**: 8.1 g/cm3
**Magnetization**: 0.00 μB/f.u.
**Density of states at the Fermi level**: 1.2337 states/eV/atom

***

Which of them is most stable? Easy: entry one.

***

Entry one
Nd2ErCd2 | GGA-PBE | relaxed

```
Nd2ErCd2
1.0
3.7585 0.0000 0.0000
0.0000 5.3842 0.0000
-1.8755 0.0000 14.2070
Nd Er Cd
4 2 4
Direct
0.0442 0.2500 0.0870
0.2335 0.2500 0.4688
0.7665 0.7500 0.5312
0.9558 0.7500 0.9130
0.1502 0.7500 0.2992
0.8498 0.2500 0.7008
0.3616 0.7500 0.7230
0.4412 0.2500 0.8834
0.5588 0.7500 0.1166
0.6384 0.2500 0.2770
```

Properties
**SG**: P2_1/m, No. 11
**ρ**: 7.9 g/cm3
**Magnetization**: 0.18 μB/f.u.
**Density of states at the Fermi level**: 1.0413 states/eV/atom

***

Entry two
Nd2ErCd2 | GGA-PBE | relaxed

```
Nd2ErCd2
1.0
-2.5113 3.5134 4.1904
2.5113 -3.5134 4.1904
2.5113 3.5134 -4.1904
Nd Er Cd
2 1 2
Direct
0.1958 0.1958 0.0000
0.8042 0.8042 0.0000
0.5000 0.0000 0.5000
0.2126 0.5000 0.7126
0.7874 0.5000 0.2874
```

Properties
**SG**: Immm, No. 71
**ρ**: 7.6 g/cm3
**Magnetization**: 0.00 μB/f.u.
**Density of states at the Fermi level**: 1.1765 states/eV/atom

***

Which of them is most stable? Easy: entry one.

***

Entry one
Nd3Er4Cd | GGA-PBE | relaxed

```
Nd3Er4Cd
1.0
11.2778 0.0000 0.0000
0.0000 7.1018 0.0000
0.0000 0.0000 6.2026
Nd Er Cd
6 8 2
Direct
0.0000 0.1293 0.0000
0.2336 0.1176 0.3584
0.2664 0.8824 0.8584
0.5000 0.8707 0.5000
0.7336 0.8824 0.8584
0.7664 0.1176 0.3584
0.0000 0.3918 0.5395
0.0000 0.6296 0.0205
0.2424 0.6224 0.3623
0.2576 0.3776 0.8623
0.5000 0.3704 0.5205
0.5000 0.6082 0.0395
0.7424 0.3776 0.8623
0.7576 0.6224 0.3623
0.0000 0.8581 0.5301
0.5000 0.1419 0.0301
```

Properties
**SG**: Pmn2_1, No. 31
**ρ**: 8.1 g/cm3
**Magnetization**: 0.00 μB/f.u.
**Density of states at the Fermi level**: 1.2258 states/eV/atom

***

Entry two
Nd3Er4Cd | GGA-PBE | relaxed

```
Nd3Er4Cd
1.0
3.5998 0.0000 0.0000
0.0000 3.5998 0.0000
0.0000 0.0000 19.1772
Nd Er Cd
3 4 1
Direct
0.0000 0.0000 0.0000
0.0000 0.0000 0.2641
0.0000 0.0000 0.7359
0.5000 0.5000 0.1321
0.5000 0.5000 0.3953
0.5000 0.5000 0.6047
0.5000 0.5000 0.8679
0.0000 0.0000 0.5000
```

Properties
**SG**: P4/mmm, No. 123
**ρ**: 8.1 g/cm3
**Magnetization**: 0.00 μB/f.u.
**Density of states at the Fermi level**: 1.1858 states/eV/atom

***

Which of them is most stable? Easy: entry two.

***

Entry one
Nd4Er5Cd | GGA-PBE | relaxed

```
Nd4Er5Cd
1.0
3.6055 0.0000 0.0000
0.0000 3.6055 0.0000
0.0000 0.0000 24.1642
Nd Er Cd
4 5 1
Direct
0.0000 0.0000 0.1040
0.0000 0.0000 0.3132
0.0000 0.0000 0.6868
0.0000 0.0000 0.8960
0.5000 0.5000 0.0000
0.5000 0.5000 0.2084
0.5000 0.5000 0.4171
0.5000 0.5000 0.5829
0.5000 0.5000 0.7916
0.0000 0.0000 0.5000
```

Properties
**SG**: P4/mmm, No. 123
**ρ**: 8.1 g/cm3
**Magnetization**: 0.00 μB/f.u.
**Density of states at the Fermi level**: 1.2966 states/eV/atom

***

Entry two
Nd4Er5Cd | GGA-PBE | relaxed

```
Nd4Er5Cd
1.0
-5.3694 5.3694 2.8629
5.3694 -5.3694 2.8629
5.3694 5.3694 -2.8629
Nd Er Cd
4 5 1
Direct
0.0000 0.3168 0.3168
0.0000 0.6832 0.6832
0.3168 0.0000 0.3168
0.6832 0.0000 0.6832
0.1899 0.1899 0.0000
0.3073 0.3073 0.6334
0.3073 0.6739 0.0000
0.6739 0.3073 0.0000
0.6739 0.6739 0.3666
0.7072 0.7072 0.0000
```

Properties
**SG**: I4mm, No. 107
**ρ**: 7.7 g/cm3
**Magnetization**: 0.00 μB/f.u.
**Density of states at the Fermi level**: 1.3405 states/eV/atom

***

Which of them is most stable? Easy: entry one.

***

Entry one
NdErCdRu | GGA-PBE | relaxed

```
NdErCdRu
1.0
3.5023 0.0000 0.0000
0.0000 3.5023 0.0000
0.0000 0.0000 7.7774
Nd Er Cd Ru
1 1 1 1
Direct
0.0000 0.0000 0.0000
0.0000 0.0000 0.5682
0.5000 0.5000 0.3009
0.5000 0.5000 0.7700
```

Properties
**SG**: P4mm, No. 99
**ρ**: 9.1 g/cm3
**Magnetization**: 0.00 μB/f.u.
**Density of states at the Fermi level**: 0.9475 states/eV/atom

***

Entry two
NdErCdRu | GGA-PBE | relaxed

```
NdErCdRu
1.0
0.0000 3.6034 3.6034
3.6034 0.0000 3.6034
3.6034 3.6034 0.0000
Nd Er Cd Ru
1 1 1 1
Direct
0.0000 0.0000 0.0000
0.5000 0.5000 0.5000
0.7500 0.7500 0.7500
0.2500 0.2500 0.2500
```

Properties
**SG**: F-43m, No. 216
**ρ**: 9.3 g/cm3
**Magnetization**: 0.00 μB/f.u.
**Density of states at the Fermi level**: 0.8258 states/eV/atom

***

Which of them is most stable? Easy: entry one.

***

Entry one
NdErZnCd | GGA-PBE | relaxed

```
NdErZnCd
1.0
0.0000 3.7107 3.7107
3.7107 0.0000 3.7107
3.7107 3.7107 0.0000
Nd Er Zn Cd
1 1 1 1
Direct
0.0000 0.0000 0.0000
0.5000 0.5000 0.5000
0.2500 0.2500 0.2500
0.7500 0.7500 0.7500
```

Properties
**SG**: F-43m, No. 216
**ρ**: 8.0 g/cm3
**Magnetization**: 0.02 μB/f.u.
**Density of states at the Fermi level**: 1.2090 states/eV/atom

***

Entry two
NdErZnCd | GGA-PBE | relaxed

```
NdErZnCd
1.0
3.6243 0.0000 0.0000
0.0000 3.6243 0.0000
0.0000 0.0000 7.6882
Nd Er Zn Cd
1 1 1 1
Direct
0.0000 0.0000 0.0000
0.0000 0.0000 0.4607
0.5000 0.5000 0.2509
0.5000 0.5000 0.7125
```

Properties
**SG**: P4mm, No. 99
**ρ**: 8.0 g/cm3
**Magnetization**: 0.00 μB/f.u.
**Density of states at the Fermi level**: 0.9921 states/eV/atom

***

Which of them is most stable? Easy: entry two.

***

Entry one
Er4CdNi | GGA-PBE | relaxed

```
Er4CdNi
1.0
7.0689 0.0000 0.0000
0.0000 7.0319 0.0000
-0.5891 0.0000 6.8099
Er Cd Ni
8 2 2
Direct
0.1401 0.1666 0.1868
0.1401 0.3334 0.6868
0.3177 0.6425 0.1068
0.3177 0.8575 0.6068
0.6823 0.1425 0.3932
0.6823 0.3575 0.8932
0.8599 0.6666 0.3132
0.8599 0.8334 0.8132
0.5000 0.0000 0.0000
0.5000 0.5000 0.5000
0.0000 0.0000 0.5000
0.0000 0.5000 0.0000
```

Properties
**SG**: P2_1/c, No. 14
**ρ**: 8.2 g/cm3
**Magnetization**: 0.00 μB/f.u.
**Density of states at the Fermi level**: 1.4165 states/eV/atom

***

Entry two
Er4CdNi | GGA-PBE | relaxed

```
Er4CdNi
1.0
0.0000 6.6926 6.6926
6.6926 0.0000 6.6926
6.6926 6.6926 0.0000
Er Cd Ni
16 4 4
Direct
0.1861 0.1861 0.8139
0.1861 0.8139 0.1861
0.1861 0.8139 0.8139
0.4017 0.4017 0.4017
0.4017 0.4017 0.7949
0.4017 0.7949 0.4017
0.5614 0.5614 0.9386
0.5614 0.9386 0.5614
0.5614 0.9386 0.9386
0.7949 0.4017 0.4017
0.8139 0.1861 0.1861
0.8139 0.1861 0.8139
0.8139 0.8139 0.1861
0.9386 0.5614 0.5614
0.9386 0.5614 0.9386
0.9386 0.9386 0.5614
0.1686 0.1686 0.1686
0.1686 0.1686 0.4942
0.1686 0.4942 0.1686
0.4942 0.1686 0.1686
0.1771 0.6076 0.6076
0.6076 0.1771 0.6076
0.6076 0.6076 0.1771
0.6076 0.6076 0.6076
```

Properties
**SG**: F-43m, No. 216
**ρ**: 9.3 g/cm3
**Magnetization**: 0.00 μB/f.u.
**Density of states at the Fermi level**: 1.0717 states/eV/atom

***

Which of them is most stable? Easy: entry two.

***

Entry one
Er4CdOs | GGA-PBE | relaxed

```
Er4CdOs
1.0
4.3179 -2.4841 0.0000
4.3179 2.4841 0.0000
-2.8684 0.0000 7.9717
Er Cd Os
4 1 1
Direct
0.1148 0.1148 0.3429
0.3647 0.3647 0.0939
0.6353 0.6353 0.9061
0.8852 0.8852 0.6571
0.5000 0.5000 0.5000
0.0000 0.0000 0.0000
```

Properties
**SG**: C2/m, No. 12
**ρ**: 9.4 g/cm3
**Magnetization**: 0.00 μB/f.u.
**Density of states at the Fermi level**: 1.1442 states/eV/atom

***

Entry two
Er4CdOs | GGA-PBE | relaxed

```
Er4CdOs
1.0
0.0000 6.7581 6.7581
6.7581 0.0000 6.7581
6.7581 6.7581 0.0000
Er Cd Os
16 4 4
Direct
0.1903 0.1903 0.8097
0.1903 0.8097 0.1903
0.1903 0.8097 0.8097
0.3465 0.3465 0.3465
0.3465 0.3465 0.9606
0.3465 0.9606 0.3465
0.5581 0.5581 0.9419
0.5581 0.9419 0.5581
0.5581 0.9419 0.9419
0.8097 0.1903 0.1903
0.8097 0.1903 0.8097
0.8097 0.8097 0.1903
0.9419 0.5581 0.5581
0.9419 0.5581 0.9419
0.9419 0.9419 0.5581
0.9606 0.3465 0.3465
0.2584 0.5805 0.5805
0.5805 0.2584 0.5805
0.5805 0.5805 0.2584
0.5805 0.5805 0.5805
0.1393 0.1393 0.1393
0.1393 0.1393 0.5822
0.1393 0.5822 0.1393
0.5822 0.1393 0.1393
```

Properties
**SG**: F-43m, No. 216
**ρ**: 10.5 g/cm3
**Magnetization**: 0.00 μB/f.u.
**Density of states at the Fermi level**: 1.2132 states/eV/atom

***

Which of them is most stable? Easy: entry two.

***

Entry one
Er6CdOs | GGA-PBE | relaxed

```
Er6CdOs
1.0
-2.4954 2.4954 8.5417
2.4954 -2.4954 8.5417
2.4954 2.4954 -8.5417
Er Cd Os
6 1 1
Direct
0.1003 0.6003 0.5000
0.2495 0.2495 0.0000
0.3997 0.8997 0.5000
0.6003 0.1003 0.5000
0.7505 0.7505 0.0000
0.8997 0.3997 0.5000
0.0000 0.0000 0.0000
0.5000 0.5000 0.0000
```

Properties
**SG**: I4/mmm, No. 139
**ρ**: 10.2 g/cm3
**Magnetization**: 0.03 μB/f.u.
**Density of states at the Fermi level**: 1.2440 states/eV/atom

***

Entry two
Er6CdOs | GGA-PBE | relaxed

```
Er6CdOs
1.0
6.8025 0.0000 0.0000
-3.4002 5.8992 0.0000
-3.3921 -1.9653 6.3137
Er Cd Os
6 1 1
Direct
0.0391 0.0806 0.2564
0.2978 0.7172 0.2562
0.3234 0.5411 0.7437
0.6766 0.4589 0.2563
0.7022 0.2828 0.7438
0.9609 0.9194 0.7436
0.5000 0.0000 0.0000
0.5000 0.5000 0.5000
```

Properties
**SG**: P-1, No. 2
**ρ**: 8.6 g/cm3
**Magnetization**: 0.00 μB/f.u.
**Density of states at the Fermi level**: 1.2274 states/eV/atom

***

Which of them is most stable? Easy: entry one.

***

Entry one
SmErCdOs | GGA-PBE | relaxed

```
SmErCdOs
1.0
0.0000 3.5684 3.5684
3.5684 0.0000 3.5684
3.5684 3.5684 0.0000
Sm Er Cd Os
1 1 1 1
Direct
0.0000 0.0000 0.0000
0.5000 0.5000 0.5000
0.2500 0.2500 0.2500
0.7500 0.7500 0.7500
```

Properties
**SG**: F-43m, No. 216
**ρ**: 11.3 g/cm3
**Magnetization**: 0.00 μB/f.u.
**Density of states at the Fermi level**: 0.7987 states/eV/atom

***

Entry two
SmErCdOs | GGA-PBE | relaxed

```
SmErCdOs
1.0
3.4652 0.0000 0.0000
0.0000 3.4652 0.0000
0.0000 0.0000 7.8470
Sm Er Cd Os
1 1 1 1
Direct
0.0000 0.0000 0.0000
0.0000 0.0000 0.5740
0.5000 0.5000 0.2989
0.5000 0.5000 0.7780
```

Properties
**SG**: P4mm, No. 99
**ρ**: 10.9 g/cm3
**Magnetization**: 0.00 μB/f.u.
**Density of states at the Fermi level**: 0.7169 states/eV/atom

***

Which of them is most stable? Easy: entry two.

***

Entry one
TbErCdOs | GGA-PBE | relaxed

```
TbErCdOs
1.0
3.4402 0.0000 0.0000
0.0000 3.4402 0.0000
0.0000 0.0000 7.7696
Tb Er Cd Os
1 1 1 1
Direct
0.0000 0.0000 0.0000
0.0000 0.0000 0.5745
0.5000 0.5000 0.2926
0.5000 0.5000 0.7833
```

Properties
**SG**: P4mm, No. 99
**ρ**: 11.4 g/cm3
**Magnetization**: 0.00 μB/f.u.
**Density of states at the Fermi level**: 0.6599 states/eV/atom

***

Entry two
TbErCdOs | GGA-PBE | relaxed

```
TbErCdOs
1.0
0.0000 3.5381 3.5381
3.5381 0.0000 3.5381
3.5381 3.5381 0.0000
Tb Er Cd Os
1 1 1 1
Direct
0.0000 0.0000 0.0000
0.5000 0.5000 0.5000
0.7500 0.7500 0.7500
0.2500 0.2500 0.2500
```

Properties
**SG**: F-43m, No. 216
**ρ**: 11.8 g/cm3
**Magnetization**: 0.00 μB/f.u.
**Density of states at the Fermi level**: 0.7771 states/eV/atom

***

Which of them is most stable? Easy: entry one.

***

Entry one
ErZrCdOs | GGA-PBE | relaxed

```
ErZrCdOs
1.0
3.3391 0.0000 0.0000
0.0000 3.3391 0.0000
0.0000 0.0000 7.6264
Er Zr Cd Os
1 1 1 1
Direct
0.0000 0.0000 0.0000
0.0000 0.0000 0.5646
0.5000 0.5000 0.2934
0.5000 0.5000 0.7600
```

Properties
**SG**: P4mm, No. 99
**ρ**: 11.0 g/cm3
**Magnetization**: 0.00 μB/f.u.
**Density of states at the Fermi level**: 0.6129 states/eV/atom

***

Entry two
ErZrCdOs | GGA-PBE | relaxed

```
ErZrCdOs
1.0
0.0000 3.4532 3.4532
3.4532 0.0000 3.4532
3.4532 3.4532 0.0000
Er Zr Cd Os
1 1 1 1
Direct
0.0000 0.0000 0.0000
0.5000 0.5000 0.5000
0.2500 0.2500 0.2500
0.7500 0.7500 0.7500
```

Properties
**SG**: F-43m, No. 216
**ρ**: 11.3 g/cm3
**Magnetization**: 0.00 μB/f.u.
**Density of states at the Fermi level**: 0.5867 states/eV/atom

***

Which of them is most stable? Easy: entry one.